Model one:
{
  "formula": "CoReAg2",
  "functional": "SCAN",
  "state": "PBEsol geometry",
  "dos_at_fermi_per_ev_fu": 2.89,
  "sg": "P4/mmm, No. 123",
  "lattice": [[-0.6897, 2.9733, -2.0617], [-0.9971, -2.1737, -2.8013], [-4.0460, 0.0390, 1.4098]],
  "species": ["Ag", "Ag", "Re", "Co"],
  "fractional_positions": [[0.5000, 0.0000, 0.0000], [0.0000, 0.5000, 0.0000], [0.0000, 0.0000, 0.5000], [0.5000, 0.5000, 0.5000]]
}

=====

Model two:
{
  "formula": "CoReAg2",
  "functional": "SCAN",
  "state": "PBEsol geometry",
  "dos_at_fermi_per_ev_fu": 2.35,
  "sg": "Cmm2, No. 35",
  "lattice": [[2.6532, -0.0198, 0.0000], [-1.0352, 2.4430, 0.0000], [0.0000, 0.0000, 9.0663]],
  "species": ["Co", "Re", "Ag", "Ag"],
  "fractional_positions": [[0.0000, 0.0000, 0.4884], [0.5000, 0.5000, 0.2744], [0.5000, 0.5000, 0.7343], [0.0000, 0.0000, 0.0029]]
}

=====

Which of them is the most stable? Correct choice: model two.

=====

Model one:
{
  "formula": "CoAgRh2",
  "functional": "SCAN",
  "state": "PBEsol geometry",
  "dos_at_fermi_per_ev_fu": 3.31,
  "sg": "F-43m, No. 216",
  "lattice": [[-3.0207, 0.7417, 2.9345], [0.6532, -1.1271, 4.0730], [0.6061, 3.0068, 2.9796]],
  "species": ["Co", "Rh", "Rh", "Ag"],
  "fractional_positions": [[0.2500, 0.2500, 0.2500], [0.7500, 0.7500, 0.7500], [0.0000, 0.0000, 0.0000], [0.5000, 0.5000, 0.5000]]
}

=====

Model two:
{
  "formula": "CoAgRh2",
  "functional": "SCAN",
  "state": "PBEsol geometry",
  "dos_at_fermi_per_ev_fu": 2.98,
  "sg": "R-3m, No. 166",
  "lattice": [[2.6753, 0.0000, 0.0000], [1.3376, 2.3168, 0.0000], [1.3376, 0.7723, 8.7665]],
  "species": ["Co", "Rh", "Rh", "Ag"],
  "fractional_positions": [[0.0000, 0.0000, 0.0000], [0.2571, 0.2571, 0.2287], [0.7429, 0.7429, 0.7713], [0.5000, 0.5000, 0.5000]]
}

=====

Which of them is the most stable? Correct choice: model two.

=====

Model one:
{
  "formula": "CoAgSb2",
  "functional": "SCAN",
  "state": "PBEsol geometry",
  "dos_at_fermi_per_ev_fu": 2.07,
  "sg": "Amm2, No. 38",
  "lattice": [[-1.3065, -0.3593, 2.8021], [0.8166, -3.8564, -0.1137], [5.1836, 3.0313, 2.8054]],
  "species": ["Co", "Ag", "Sb", "Sb"],
  "fractional_positions": [[0.5000, 0.4985, 0.9971], [0.0000, 0.6853, 0.3706], [0.0000, 0.0154, 0.0308], [0.5000, 0.3029, 0.6058]]
}

=====

Model two:
{
  "formula": "CoAgSb2",
  "functional": "SCAN",
  "state": "PBEsol geometry",
  "dos_at_fermi_per_ev_fu": 2.16,
  "sg": "Cm, No. 8",
  "lattice": [[-2.9952, -0.6492, -0.2895], [2.3622, -4.1647, 1.2665], [-1.2154, 3.3644, 5.0302]],
  "species": ["Co", "Sb", "Sb", "Ag"],
  "fractional_positions": [[0.2902, 0.5803, 0.6269], [0.7359, 0.4719, 0.2909], [0.9121, 0.8242, 0.9582], [0.5618, 0.1236, 0.6240]]
}

=====

Model three:
{
  "formula": "CoAgSb2",
  "functional": "SCAN",
  "state": "PBEsol geometry",
  "dos_at_fermi_per_ev_fu": 2.86,
  "sg": "F-43m, No. 216",
  "lattice": [[4.7920, 0.0000, 0.0000], [2.3960, 4.1500, 0.0000], [2.3960, 1.3833, 3.9127]],
  "species": ["Ag", "Sb", "Sb", "Co"],
  "fractional_positions": [[0.5000, 0.5000, 0.5000], [0.7500, 0.7500, 0.7500], [0.0000, 0.0000, 0.0000], [0.2500, 0.2500, 0.2500]]
}

=====

Model four:
{
  "formula": "CoAgSb2",
  "functional": "SCAN",
  "state": "PBEsol geometry",
  "dos_at_fermi_per_ev_fu": 1.75,
  "sg": "P4/mmm, No. 123",
  "lattice": [[3.1058, 0.0000, 0.0000], [0.0000, 3.1058, 0.0000], [0.0000, 0.0000, 7.7393]],
  "species": ["Sb", "Sb", "Co", "Ag"],
  "fractional_positions": [[0.0000, 0.0000, 0.2931], [0.0000, 0.0000, 0.7069], [0.5000, 0.5000, 0.5000], [0.5000, 0.5000, 0.0000]]
}

=====

Which of them is the most stable? Correct choice: model one.